Li2CoW2: optimized geometry, PBE-GGA.

The structure in extended XYZ format:
```
5
Lattice="-1.407 1.407 8.368 1.407 -1.407 8.368 1.407 1.407 -8.368" Properties=species:S:1:pos:R:3 pbc="T T T"
Li 1.407 0.000 4.184
Li 0.000 1.407 4.184
Co 0.000 0.000 0.000
W 0.000 0.000 6.649
W 0.000 0.000 10.087
```

Computed properties:
ρ = 11.04 Mg/m³
ΔE_f = 0.769 eV/atom
E_tot = -32.994 eV for the cell shown
total magnetization = 1.50 Bohr magnetons per cell
Fermi-level density of states = 4.769 states/eV/f.u.
excess energy over the best structure of this formula in the dataset = 0.0 meV/atom

LiCoW2: optimized geometry, PBE-GGA.

The structure in extended XYZ format:
```
4
Lattice="2.730 0.000 0.000 0.000 2.730 0.000 0.000 0.000 7.441" Properties=species:S:1:pos:R:3 pbc="T T T"
Li 0.000 0.000 0.000
Co 1.365 1.365 5.899
W 0.000 0.000 4.309
W 1.365 1.365 2.041
```

Computed properties:
ρ = 12.98 Mg/m³
ΔE_f = 0.352 eV/atom
E_tot = -33.518 eV for the cell shown
total magnetization = 0.00 Bohr magnetons per cell
Fermi-level density of states = 3.873 states/eV/f.u.
excess energy over the best structure of this formula in the dataset = 61.6 meV/atom